# 1
# GGA-PBE RuSCl6, relaxed
data_RuSCl6
_space_group_name_H-M_alt 'C 1 2 1'
_space_group_IT_number 5
_cell_length_a 15.180
_cell_length_b 8.833
_cell_length_c 10.619
_cell_angle_alpha 90.00
_cell_angle_beta 130.07
_cell_angle_gamma 90.00
loop_
_space_group_symop_operation_xyz
'x,y,z'
'-x,y,-z'
'x+1/2,y+1/2,z'
'-x+1/2,y+1/2,-z'
loop_
_atom_site_label
_atom_site_type_symbol
_atom_site_fract_x
_atom_site_fract_y
_atom_site_fract_z
_atom_site_occupancy
Ru1 Ru 0.250 0.000 0.003 1
S1 S 0.202 0.036 0.591 1
Cl1 Cl 0.060 0.442 0.801 1
Cl2 Cl 0.074 0.074 0.771 1
Cl3 Cl 0.176 0.549 0.159 1
Cl4 Cl 0.197 0.752 0.885 1
Cl5 Cl 0.198 0.956 0.157 1
Cl6 Cl 0.219 0.826 0.536 1
# Size of the total moment, μB per atom: 0.250
# Formation energy without anion corrections, eV per atom: -0.269
# E, eV/atom: -3.33



# 2
# GGA-PBE Ce3Hf2PaN6, relaxed
data_Ce3Hf2PaN6
_space_group_name_H-M_alt 'C 1 2/m 1'
_space_group_IT_number 12
_cell_length_a 5.873
_cell_length_b 10.172
_cell_length_c 6.058
_cell_angle_alpha 90.00
_cell_angle_beta 108.86
_cell_angle_gamma 90.00
loop_
_space_group_symop_operation_xyz
'x,y,z'
'-x,-y,-z'
'-x,y,-z'
'x,-y,z'
'x+1/2,y+1/2,z'
'-x+1/2,-y+1/2,-z'
'-x+1/2,y+1/2,-z'
'x+1/2,-y+1/2,z'
loop_
_atom_site_label
_atom_site_type_symbol
_atom_site_fract_x
_atom_site_fract_y
_atom_site_fract_z
_atom_site_occupancy
Ce1 Ce 0.000 0.000 0.000 1
Ce2 Ce 0.000 0.333 0.000 1
Hf1 Hf 0.000 0.167 0.500 1
Pa1 Pa 0.000 0.500 0.500 1
N1 N 0.228 0.000 0.713 1
N2 N 0.243 0.328 0.715 1
# Size of the total moment, μB per atom: 0.000
# Formation energy without anion corrections, eV per atom: -1.670
# E, eV/atom: -9.77



# 3
# GGA-PBE Th8Os3Se4S, relaxed
data_Th8Os3Se4S
_space_group_name_H-M_alt 'R -3 m'
_space_group_IT_number 166
_space_group_name_Hall '-R 3 2"'
_cell_length_a 8.2864
_cell_length_b 8.2864
_cell_length_c 21.5879
_cell_angle_alpha 90.00
_cell_angle_beta 90.00
_cell_angle_gamma 120.00
loop_
_atom_site_label
_atom_site_type_symbol
_atom_site_fract_x
_atom_site_fract_y
_atom_site_fract_z
_atom_site_occupancy
Th1 Th 0.0000 0.0000 0.2379 1
Th2 Th 0.0096 0.5048 0.7589 1
Os1 Os 0.0000 0.5000 0.5000 1
Se1 Se 0.0000 0.0000 0.0000 1
Se2 Se 0.0000 0.5000 0.0000 1
S1 S 0.0000 0.0000 0.5000 1
# Size of the total moment, μB per atom: 0.000
# Formation energy without anion corrections, eV per atom: -1.167
# E, eV/atom: -8.11



# 4
# GGA-PBE Ca3Pm3Ir4, relaxed
data_Ca3Pm3Ir4
_space_group_name_H-M_alt 'A m m 2'
_space_group_IT_number 38
_cell_length_a 4.084
_cell_length_b 10.819
_cell_length_c 11.065
_cell_angle_alpha 90.00
_cell_angle_beta 90.00
_cell_angle_gamma 90.00
loop_
_space_group_symop_operation_xyz
'x,y,z'
'-x,-y,z'
'-x,y,z'
'x,-y,z'
'x,y+1/2,z+1/2'
'-x,-y+1/2,z+1/2'
'-x,y+1/2,z+1/2'
'x,-y+1/2,z+1/2'
loop_
_atom_site_label
_atom_site_type_symbol
_atom_site_fract_x
_atom_site_fract_y
_atom_site_fract_z
_atom_site_occupancy
Ca1 Ca 0.000 0.000 0.000 1
Ca2 Ca 0.500 0.245 0.083 1
Pm1 Pm 0.000 0.000 0.669 1
Pm2 Pm 0.000 0.168 0.334 1
Ir1 Ir 0.500 0.000 0.220 1
Ir2 Ir 0.500 0.000 0.465 1
Ir3 Ir 0.500 0.125 0.830 1
# Size of the total moment, μB per atom: 0.000
# ΔE_f, meV/atom: -459
# E, eV/atom: -6.03



- What is the formula in the first record?
  RuSCl6